Entry from Alexandria: a relaxed NaCd4Ge2 crystal (PBE-GGA).

Cell and atoms, written as CIF:
```
data_NaCd4Ge2
_cell_length_a 4.5170
_cell_length_b 16.0482
_cell_length_c 4.4891
_cell_angle_alpha 90.00
_cell_angle_beta 90.00
_cell_angle_gamma 90.00
_space_group_name_H-M_alt 'C m m m'
_space_group_IT_number 65
_space_group_name_Hall '-C 2 2'
loop_
_atom_site_label
_atom_site_type_symbol
_atom_site_fract_x
_atom_site_fract_y
_atom_site_fract_z
Na1 Na 0.0000 0.0000 0.0000
Cd1 Cd 0.0000 0.1772 0.5000
Cd2 Cd 0.0000 0.3167 0.0000
Ge1 Ge 0.0000 0.4221 0.5000
```

Output
ΔH_f (0 K)   -0.02 eV/atom
Excess energy over the best structure of this formula in the dataset   0.000 eV/f.u.
Density of states at the Fermi level   4.24 states/eV/cell
M_tot   0.000 μB per formula unit

Entry from Alexandria: a relaxed NaCd2Ge2 crystal (PBE-GGA).

Cell and atoms, written as CIF:
```
data_NaCd2Ge2
_cell_length_a 4.5590
_cell_length_b 4.5590
_cell_length_c 11.4212
_cell_angle_alpha 90.00
_cell_angle_beta 90.00
_cell_angle_gamma 90.00
_space_group_name_H-M_alt 'I 4/m m m'
_space_group_IT_number 139
_space_group_name_Hall '-I 4 2'
loop_
_atom_site_label
_atom_site_type_symbol
_atom_site_fract_x
_atom_site_fract_y
_atom_site_fract_z
Na1 Na 0.0000 0.0000 0.0000
Cd1 Cd 0.0000 0.5000 0.2500
Ge1 Ge 0.0000 0.0000 0.3924
```

Output
ΔH_f (0 K)   -0.05 eV/atom
Excess energy over the best structure of this formula in the dataset   0.000 eV/f.u.
Density of states at the Fermi level   2.76 states/eV/cell
M_tot   0.000 μB per formula unit

Entry from Alexandria: a relaxed Na4Cd5Ge2 crystal (PBE-GGA).

Cell and atoms, written as CIF:
```
data_Na4Cd5Ge2
_cell_length_a 7.2436
_cell_length_b 4.5584
_cell_length_c 8.7295
_cell_angle_alpha 90.00
_cell_angle_beta 96.85
_cell_angle_gamma 90.00
_space_group_name_H-M_alt 'P 1 2/m 1'
_space_group_IT_number 10
loop_
_space_group_symop_operation_xyz
'x,y,z'
'-x,-y,-z'
'-x,y,-z'
'x,-y,z'
loop_
_atom_site_label
_atom_site_type_symbol
_atom_site_fract_x
_atom_site_fract_y
_atom_site_fract_z
Na1 Na 0.1996 0.0000 0.3601
Na2 Na 0.2308 0.0000 0.9266
Cd1 Cd 0.1552 0.5000 0.6379
Cd2 Cd 0.4563 0.5000 0.1610
Cd3 Cd 0.5000 0.5000 0.5000
Ge1 Ge 0.0702 0.5000 0.1337
```

Output
ΔH_f (0 K)   -0.05 eV/atom
Density of states at the Fermi level   3.00 states/eV/cell
M_tot   0.000 μB per formula unit

Entry from Alexandria: a relaxed Na12Cd2Ge crystal (PBE-GGA).

Cell and atoms, written as CIF:
```
data_Na12Cd2Ge
_cell_length_a 6.7183
_cell_length_b 6.7183
_cell_length_c 22.9406
_cell_angle_alpha 90.00
_cell_angle_beta 90.00
_cell_angle_gamma 90.00
_space_group_name_H-M_alt 'P 4/n b m'
_space_group_IT_number 125
loop_
_space_group_symop_operation_xyz
'x,y,z'
'-x,-y,-z'
'-y+1/2,x,z'
'y+1/2,-x,-z'
'-x+1/2,-y+1/2,z'
'x+1/2,y+1/2,-z'
'y,-x+1/2,z'
'-y,x+1/2,-z'
'x,-y+1/2,-z'
'-x,y+1/2,z'
'-y+1/2,-x+1/2,-z'
'y+1/2,x+1/2,z'
'-x+1/2,y,-z'
'x+1/2,-y,z'
'y,x,-z'
'-y,-x,z'
loop_
_atom_site_label
_atom_site_type_symbol
_atom_site_fract_x
_atom_site_fract_y
_atom_site_fract_z
Na1 Na 0.0000 0.0000 0.0767
Na2 Na 0.0741 0.5741 0.4318
Na3 Na 0.2500 0.2500 0.1928
Na4 Na 0.2500 0.2500 0.3223
Cd1 Cd 0.2500 0.7500 0.2414
Ge1 Ge 0.2500 0.7500 0.0000
```

Output
ΔH_f (0 K)   0.11 eV/atom
Density of states at the Fermi level   12.56 states/eV/cell
M_tot   0.001 μB per formula unit

Entry from Alexandria: a relaxed NaCd2Ge2 crystal (PBE-GGA).

Cell and atoms, written as CIF:
```
data_NaCd2Ge2
_cell_length_a 4.5487
_cell_length_b 4.3114
_cell_length_c 12.2011
_cell_angle_alpha 90.00
_cell_angle_beta 93.48
_cell_angle_gamma 90.00
_space_group_name_H-M_alt 'P 1 21/m 1'
_space_group_IT_number 11
loop_
_space_group_symop_operation_xyz
'x,y,z'
'-x,-y,-z'
'-x,y+1/2,-z'
'x,-y+1/2,z'
loop_
_atom_site_label
_atom_site_type_symbol
_atom_site_fract_x
_atom_site_fract_y
_atom_site_fract_z
Na1 Na 0.1954 0.2500 0.2627
Cd1 Cd 0.2488 0.7500 0.4944
Cd2 Cd 0.3360 0.2500 0.8583
Ge1 Ge 0.1699 0.7500 0.0052
Ge2 Ge 0.2744 0.2500 0.6408
```

Output
ΔH_f (0 K)   -0.02 eV/atom
Excess energy over the best structure of this formula in the dataset   0.150 eV/f.u.
Density of states at the Fermi level   3.37 states/eV/cell
M_tot   0.000 μB per formula unit

Entry from Alexandria: a relaxed Na6CdGe2 crystal (PBE-GGA).

Cell and atoms, written as CIF:
```
data_Na6CdGe2
_cell_length_a 5.3254
_cell_length_b 5.3254
_cell_length_c 29.3475
_cell_angle_alpha 90.00
_cell_angle_beta 90.00
_cell_angle_gamma 120.00
_space_group_name_H-M_alt 'R -3 m'
_space_group_IT_number 166
_space_group_name_Hall '-R 3 2"'
loop_
_atom_site_label
_atom_site_type_symbol
_atom_site_fract_x
_atom_site_fract_y
_atom_site_fract_z
Na1 Na 0.0000 0.0000 0.0776
Na2 Na 0.0000 0.0000 0.2053
Na3 Na 0.0000 0.0000 0.3092
Cd1 Cd 0.0000 0.0000 0.5000
Ge1 Ge 0.0000 0.0000 0.4110
```

Output
ΔH_f (0 K)   -0.09 eV/atom
Density of states at the Fermi level   9.56 states/eV/cell
M_tot   0.000 μB per formula unit